# Ba5CuRh

A geometry-optimized Ba5CuRh structure (PBE-GGA, the Alexandria database).

Unit cell a=7.8286 b=7.8286 c=12.1305 alpha=106.26 beta=106.26 gamma=80.97
With the nearest neighbours (Å) after each atom.
Element x y z (fractional)
Ba1 0.0752 0.7150 0.3581  1 Rh 2.94
Ba2 0.2412 0.7588 0.7500  1 Cu 3.30, 2 Rh 3.38
Ba3 0.2740 0.3463 0.9872  1 Rh 3.01, 1 Cu 3.17
Ba4 0.2850 0.9248 0.1419  1 Rh 2.94
Ba5 0.3463 0.2740 0.4872  1 Rh 3.01, 1 Cu 3.17
Ba6 0.6537 0.7260 0.5128  1 Rh 3.01, 1 Cu 3.17
Ba7 0.7150 0.0752 0.8581  1 Rh 2.94
Ba8 0.7260 0.6537 0.0128  1 Rh 3.01, 1 Cu 3.17
Ba9 0.7588 0.2412 0.2500  1 Cu 3.30, 2 Rh 3.38
Ba10 0.9248 0.2850 0.6419  1 Rh 2.94
Cu1 0.4338 0.5662 0.2500  5 Ba 3.17-3.34
Cu2 0.5662 0.4338 0.7500  5 Ba 3.17-3.34
Rh1 0.0000 0.5000 0.5000  4 Ba 2.94-3.01
Rh2 0.5000 0.0000 0.0000  4 Ba 2.94-3.01

Summary:
Its space-group type is C2/c (15). Its total energy is -3.044 eV per atom. The calculation puts the density of states at the Fermi level at 4.54 states/eV/f.u. The calculation puts the formation energy at -24 kJ/mol of formula units.

=====

# Ba2CuRh

A geometry-optimized Ba2CuRh structure (PBE-GGA, the Alexandria database).

Unit cell a=4.6095 b=4.6095 c=10.5772 alpha=90.00 beta=90.00 gamma=90.00
With the nearest neighbours (Å) after each atom.
Element x y z (fractional)
Ba1 0.0000 0.0000 0.0000  4 Rh 3.26, 4 Ba 3.51, 4 Cu 3.51
Ba2 0.0000 0.5000 0.2500  4 Cu 3.26, 4 Ba 3.51, 4 Rh 3.51
Ba3 0.5000 0.0000 0.7500  4 Cu 3.26, 4 Ba 3.51, 4 Rh 3.51
Ba4 0.5000 0.5000 0.5000  4 Rh 3.26, 4 Ba 3.51, 4 Cu 3.51
Cu1 0.0000 0.5000 0.7500  8 Ba 3.26-3.51, 4 Rh 3.51
Cu2 0.5000 0.0000 0.2500  8 Ba 3.26-3.51, 4 Rh 3.51
Rh1 0.0000 0.0000 0.5000  8 Ba 3.26-3.51, 4 Cu 3.51
Rh2 0.5000 0.5000 0.0000  8 Ba 3.26-3.51, 4 Cu 3.51

Summary:
Its space-group type is I-4m2 (119). Its total energy is -3.629 eV per atom. The relative energy among the computed polymorphs is 0.385 eV per atom. The calculation puts the density of states at the Fermi level at 1.70 states/eV/f.u. The calculation puts the formation energy at 75 kJ/mol of formula units.

=====

# BaCuRh4

A geometry-optimized BaCuRh4 structure (PBE-GGA, the Alexandria database).

Unit cell a=5.3930 b=5.3930 c=5.3930 alpha=60.00 beta=60.00 gamma=60.00
With the nearest neighbours (Å) after each atom.
Element x y z (fractional)
Ba1 0.0000 0.0000 0.0000  12 Rh 3.16, 4 Cu 3.30
Cu1 0.7500 0.7500 0.7500  12 Rh 3.16, 4 Ba 3.30
Rh1 0.3761 0.3761 0.3761  6 Rh 2.67-2.72
Rh2 0.3761 0.3761 0.8717  6 Rh 2.67-2.72
Rh3 0.3761 0.8717 0.3761  6 Rh 2.67-2.72
Rh4 0.8717 0.3761 0.3761  6 Rh 2.67-2.72

Summary:
Its space-group type is F-43m (216). Its total energy is -5.585 eV per atom. The calculation puts the density of states at the Fermi level at 12.68 states/eV/f.u. The calculation puts the formation energy at 185 kJ/mol of formula units.

=====

# BaCu2Rh

A geometry-optimized BaCu2Rh structure (PBE-GGA, the Alexandria database).

Unit cell a=7.5522 b=4.3634 c=6.0319 alpha=90.00 beta=114.90 gamma=90.00
With the nearest neighbours (Å) after each atom.
Element x y z (fractional)
Ba1 0.0000 0.0000 0.0000  1 Cu 3.01, 1 Rh 3.05
Ba2 0.5000 0.5000 0.0000  1 Cu 3.01, 1 Rh 3.05
Cu1 0.1830 0.0000 0.5510  3 Cu 2.54, 3 Rh 2.58-2.59
Cu2 0.4960 0.0000 0.4905  3 Rh 2.53, 3 Cu 2.54
Cu3 0.6830 0.5000 0.5510  3 Cu 2.54, 3 Rh 2.58-2.59
Cu4 0.9960 0.5000 0.4905  3 Rh 2.53, 3 Cu 2.54
Rh1 0.3135 0.5000 0.4432  6 Cu 2.53-2.59
Rh2 0.8135 0.0000 0.4432  6 Cu 2.53-2.59

Summary:
Its space-group type is Cm (8). Its total energy is -4.467 eV per atom. The relative energy among the computed polymorphs is 0.000 eV per atom. The calculation puts the density of states at the Fermi level at 1.76 states/eV/f.u. The calculation puts the formation energy at -39 kJ/mol of formula units.